A geometry-optimized HgH2Au structure, computed with PBE-GGA.

Its energy above the most stable polymorph in this dataset is 0 meV/atom.

The structure belongs to space group P-1 (No. 2); the cell edges are 2.8787, 4.7191 and 11.4302 Å and the angles 89.61°, 83.63° and 89.77°. Symmetry generates all atoms from Hg at (0.1269, 0.2526, 0.2449), H at (0.4043, 0.3203, 0.5650), H at (0.4771, 0.8216, 0.4332), Au at (0.0000, 0.0000, 0.0000) and Au at (0.5000, 0.5000, 0.0000).

A geometry-optimized Ca2PRh3 structure, computed with PBE-GGA.

Its energy above the most stable polymorph in this dataset is 965 meV/atom. The calculation puts the formation energy at 0.2455 eV/atom.

The structure belongs to space group P6/mmm (No. 191); the cell edges are 5.2246, 5.2246 and 5.2027 Å and the angles 90.00°, 90.00° and 120.00°. Symmetry generates all atoms from Ca at (0.3333, 0.6667, 0.0000), P at (0.0000, 0.0000, 0.0000) and Rh at (0.0000, 0.5000, 0.5000).

A geometry-optimized CuTe4W structure, computed with PBE-GGA.

Its formation energy from raw total energies is 862.1 kJ/mol of formula units.

The structure belongs to space group F-43m (No. 216); the cell edges are 8.7487, 8.7487 and 8.7487 Å and the angles 90.00°, 90.00° and 90.00°. Symmetry generates all atoms from Cu at (0.0000, 0.0000, 0.0000), Te at (0.1250, 0.1250, 0.6250) and W at (0.2500, 0.2500, 0.2500).

A geometry-optimized YV2Ge2 structure, computed with PBE-GGA.

Its energy above the most stable polymorph in this dataset is 378 meV/atom. The calculation puts the formation energy at -0.1619 eV/atom.

The structure belongs to space group I4/mmm (No. 139); the cell edges are 4.6207, 4.6207 and 8.5749 Å and the angles 90.00°, 90.00° and 90.00°. Symmetry generates all atoms from Y at (0.0000, 0.0000, 0.0000), V at (0.0000, 0.0000, 0.3859) and Ge at (0.0000, 0.5000, 0.2500).

A geometry-optimized ThCdH6Ir2 structure, computed with PBE-GGA.

The value obtained for the total energy is -4.854 eV per atom.

The structure belongs to space group C2/c (No. 15); the cell edges are 7.5916, 11.7888 and 5.0390 Å and the angles 90.00°, 100.44° and 90.00°. Symmetry generates all atoms from Th at (0.0000, 0.1718, 0.2500), Cd at (0.0000, 0.4472, 0.7500), H at (0.1224, 0.0074, 0.5224), H at (0.2091, 0.3230, 0.9361), H at (0.2346, 0.3120, 0.3904) and Ir at (0.2047, 0.0911, 0.8178).

A geometry-optimized SrSn2Sb2 structure, computed with PBE-GGA.

Its formation energy from raw total energies is -107.7 kJ/mol of formula units.

The structure belongs to space group P4/mbm (No. 127); the cell edges are 8.6160, 8.6160 and 4.1077 Å and the angles 90.00°, 90.00° and 90.00°. Symmetry generates all atoms from Sr at (0.0000, 0.0000, 0.0000), Sn at (0.1242, 0.3758, 0.0000) and Sb at (0.1816, 0.6816, 0.5000).

A geometry-optimized CsSrF3 structure, computed with PBE-GGA.

Its formation energy from raw total energies is -1516.9 kJ/mol of formula units. Its energy above the most stable polymorph in this dataset is 289 meV/atom.

The structure belongs to space group R-3c (No. 167, hexagonal axes); the cell edges are 7.3589, 7.3589 and 16.9645 Å and the angles 90.00°, 90.00° and 120.00°. Symmetry generates all atoms from Cs at (0.0000, 0.0000, 0.0000), Sr at (0.0000, 0.0000, 0.2500) and F at (0.0000, 0.3105, 0.2500).

A geometry-optimized Ti6Ge2C structure, computed with PBE-GGA.

The calculation puts the formation energy at -0.1680 eV/atom.

The structure belongs to space group P4_2/mnm (No. 136); the cell edges are 5.4500, 5.4500 and 10.9007 Å and the angles 90.00°, 90.00° and 90.00°. Symmetry generates all atoms from Ti at (0.1860, 0.1860, 0.1376), Ti at (0.2231, 0.2231, 0.5000), Ge at (0.0000, 0.0000, 0.3280) and C at (0.0000, 0.0000, 0.0000).

A geometry-optimized BaTcW structure, computed with PBE-GGA.

Its energy above the most stable polymorph in this dataset is 135 meV/atom. The calculation puts the formation energy at 0.8470 eV/atom.

The structure belongs to space group P3m1 (No. 156); the cell edges are 4.1664, 4.1664 and 5.6452 Å and the angles 90.00°, 90.00° and 120.00°. Symmetry generates all atoms from Ba at (0.0000, 0.0000, 0.0000), Tc at (0.6667, 0.3333, 0.4878) and W at (0.3333, 0.6667, 0.5085).

A geometry-optimized LaBe structure, computed with PBE-GGA.

Its energy above the most stable polymorph in this dataset is 255 meV/atom. The calculation puts the formation energy at 0.2946 eV/atom.

The structure belongs to space group Fddd (No. 70, origin choice 2); the cell edges are 7.2093, 9.5340 and 11.2766 Å and the angles 90.00°, 90.00° and 90.00°. Symmetry generates all atoms from La at (0.1250, 0.3223, 0.1250) and Be at (0.0200, 0.3750, 0.8750).